[1]
DFT (meta-GGA SCAN) results for a PBEsol-optimized structure of La2CrPt.

a = 4.296 Å, b = 4.296 Å, c = 7.014 Å
α = 72.17°, β = 72.17°, γ = 60.00°
Each line ends with the local moment (μB).
Fractional coordinates of all 4 atoms:
La1 0.971 0.971 0.087  -0.16
La2 0.779 0.779 0.662  -0.18
Cr1 0.205 0.205 0.386  2.93
Pt1 0.545 0.545 0.365  -0.06

Values from the calculation:
- space-group type = R3m (160)
- calculated formation energy (eV per atom) = -0.49

=====

[2]
DFT (meta-GGA SCAN) results for a PBEsol-optimized structure of SrNdCoO4.

a = 5.299 Å, b = 5.311 Å, c = 6.612 Å
α = 90.00°, β = 113.62°, γ = 90.00°
Fractional coordinates of all 14 atoms:
Nd1 0.116 0.750 0.232
Nd2 0.884 0.250 0.768
O1 0.000 0.000 0.500
O2 0.500 0.500 0.500
O3 0.500 0.000 0.500
O4 0.079 0.250 0.159
O5 0.593 0.750 0.186
O6 0.921 0.750 0.841
O7 0.000 0.500 0.500
O8 0.407 0.250 0.814
Co1 0.249 0.250 0.498
Co2 0.751 0.750 0.502
Sr1 0.605 0.250 0.210
Sr2 0.395 0.750 0.790

Values from the calculation:
- space-group type = Cmcm (63)
- E_form (uncorrected) (eV per atom) = -2.77

=====

[3]
DFT (meta-GGA SCAN) results for a PBEsol-optimized structure of CaRe2Te.

a = 4.683 Å, b = 4.683 Å, c = 4.683 Å
α = 60.00°, β = 60.00°, γ = 60.00°
Fractional coordinates of all 4 atoms:
Ca1 0.500 0.500 0.500
Re1 0.750 0.750 0.750
Re2 0.000 0.000 0.000
Te1 0.250 0.250 0.250

Values from the calculation:
- space-group type = F-43m (216)
- E_form (uncorrected) (eV per atom) = 0.82

=====

[4]
DFT (meta-GGA SCAN) results for a PBEsol-optimized structure of Na3GePCO7.

a = 5.380 Å, b = 6.767 Å, c = 9.304 Å
α = 90.00°, β = 96.10°, γ = 90.00°
Fractional coordinates of all 26 atoms:
O1 0.955 0.339 0.805
O2 0.286 0.269 0.631
O3 0.958 0.011 0.689
O4 0.319 0.273 0.071
O5 0.429 0.778 0.718
O6 0.042 0.511 0.311
O7 0.826 0.302 0.534
O8 0.045 0.839 0.195
O9 0.736 0.284 0.071
O10 0.571 0.278 0.282
O11 0.264 0.784 0.929
O12 0.174 0.802 0.466
O13 0.714 0.769 0.369
O14 0.681 0.773 0.929
P1 0.016 0.238 0.667
P2 0.984 0.738 0.333
Ge1 0.941 0.247 0.338
Ge2 0.059 0.747 0.662
Na1 0.470 0.855 0.161
Na2 0.526 0.008 0.531
Na3 0.530 0.355 0.839
Na4 0.987 0.040 0.979
Na5 0.474 0.508 0.469
Na6 0.013 0.540 0.021
C1 0.463 0.780 0.862
C2 0.537 0.280 0.138

Values from the calculation:
- space-group type = P2_1 (4)
- E_form (uncorrected) (eV per atom) = -2.01

=====

no.,electronic total energy (Ry per atom)
1,-3.248
2,-1.338
3,-3.415
4,-0.690